! Ta2AlCr3 GGA-PBE relaxed; values from VASP
&SYSTEM
  ibrav = 0, nat = 6, ntyp = 3
/
ATOMIC_SPECIES
Ta 180.95 Ta.upf
Al 26.98 Al.upf
Cr 52.00 Cr.upf
CELL_PARAMETERS angstrom
2.4213 1.3979 4.1979
-2.4213 1.3979 4.1979
0.0000 -2.7959 4.1979
ATOMIC_POSITIONS crystal
Ta 0.1222 0.1222 0.1222
Ta 0.8778 0.8778 0.8778
Al 0.5000 0.5000 0.5000
Cr 0.0000 0.5000 0.5000
Cr 0.5000 0.0000 0.5000
Cr 0.5000 0.5000 0.0000
! * calculated formation energy: -200.0 meV per atom


! Ta2AlCr GGA-PBE relaxed; values from VASP
&SYSTEM
  ibrav = 0, nat = 4, ntyp = 3
/
ATOMIC_SPECIES
Ta 180.95 Ta.upf
Al 26.98 Al.upf
Cr 52.00 Cr.upf
CELL_PARAMETERS angstrom
2.7843 0.0000 0.0000
0.0000 4.3018 0.0000
-1.2452 0.0000 5.3587
ATOMIC_POSITIONS crystal
Ta 0.2215 0.0000 0.2623
Ta 0.7785 0.0000 0.7377
Al 0.5000 0.5000 0.0000
Cr 0.0000 0.5000 0.5000
! * calculated formation energy: 13.0 meV per atom


! TaAl2Cr GGA-PBE relaxed; values from VASP
&SYSTEM
  ibrav = 0, nat = 8, ntyp = 3
/
ATOMIC_SPECIES
Ta 180.95 Ta.upf
Al 26.98 Al.upf
Cr 52.00 Cr.upf
CELL_PARAMETERS angstrom
3.4743 0.0000 0.0000
0.0000 4.2238 0.0000
0.0000 0.0000 8.2101
ATOMIC_POSITIONS crystal
Ta 0.0000 0.0000 0.0000
Ta 0.5000 0.5000 0.0000
Al 0.0000 0.5000 0.2692
Al 0.0000 0.5000 0.7308
Al 0.5000 0.0000 0.2692
Al 0.5000 0.0000 0.7308
Cr 0.0000 0.0000 0.5000
Cr 0.5000 0.5000 0.5000
! * calculated formation energy: -47.7 meV per atom
! * relative energy among the computed polymorphs: 76 meV/atom


! TaAl2Cr2 GGA-PBE relaxed; values from VASP
&SYSTEM
  ibrav = 0, nat = 10, ntyp = 3
/
ATOMIC_SPECIES
Ta 180.95 Ta.upf
Al 26.98 Al.upf
Cr 52.00 Cr.upf
CELL_PARAMETERS angstrom
7.0979 0.0000 0.0000
0.0000 7.0979 0.0000
0.0000 0.0000 2.9173
ATOMIC_POSITIONS crystal
Ta 0.0000 0.0000 0.0000
Ta 0.5000 0.5000 0.0000
Al 0.1262 0.3738 0.0000
Al 0.3738 0.8738 0.0000
Al 0.6262 0.1262 0.0000
Al 0.8738 0.6262 0.0000
Cr 0.1724 0.6724 0.5000
Cr 0.3276 0.1724 0.5000
Cr 0.6724 0.8276 0.5000
Cr 0.8276 0.3276 0.5000
! * calculated formation energy: 56.3 meV per atom
! * relative energy among the computed polymorphs: 0 meV/atom


! TaAl2Cr GGA-PBE relaxed; values from VASP
&SYSTEM
  ibrav = 0, nat = 4, ntyp = 3
/
ATOMIC_SPECIES
Ta 180.95 Ta.upf
Al 26.98 Al.upf
Cr 52.00 Cr.upf
CELL_PARAMETERS angstrom
2.8834 0.0000 0.0000
0.0000 2.8834 0.0000
0.0000 0.0000 7.3432
ATOMIC_POSITIONS crystal
Ta 0.0000 0.0000 0.0000
Al 0.5000 0.5000 0.2766
Al 0.5000 0.5000 0.7234
Cr 0.0000 0.0000 0.5000
! * calculated formation energy: -87.3 meV per atom
! * relative energy among the computed polymorphs: 36 meV/atom


! Ta2Al2Cr GGA-PBE relaxed; values from VASP
&SYSTEM
  ibrav = 0, nat = 10, ntyp = 3
/
ATOMIC_SPECIES
Ta 180.95 Ta.upf
Al 26.98 Al.upf
Cr 52.00 Cr.upf
CELL_PARAMETERS angstrom
6.3813 0.0000 0.0000
0.0000 6.3813 0.0000
0.0000 0.0000 4.3448
ATOMIC_POSITIONS crystal
Ta 0.1539 0.3461 0.0000
Ta 0.3461 0.8461 0.0000
Ta 0.6539 0.1539 0.0000
Ta 0.8461 0.6539 0.0000
Al 0.1554 0.6554 0.5000
Al 0.3446 0.1554 0.5000
Al 0.6554 0.8446 0.5000
Al 0.8446 0.3446 0.5000
Cr 0.0000 0.0000 0.0000
Cr 0.5000 0.5000 0.0000
! * calculated formation energy: 440.7 meV per atom
! * relative energy among the computed polymorphs: 433 meV/atom


no.,density of states at the Fermi level (states/eV per cell)
1,3.6
2,3.3
3,5.6
4,11.2
5,4.2
6,9.8